Compound: Pm2MgPbN
Source: Alexandria
Functional: PBE
Structure: relaxed

a = 5.0366 Å, b = 5.0366 Å, c = 4.4656 Å
α = 90.00°, β = 90.00°, γ = 90.00°
With the nearest neighbours (Å) after each atom.
Fractional positions:
Pm1 0.0000 0.5000 0.0000  2 N 2.52
Pm2 0.5000 0.0000 0.0000  2 N 2.52
Mg1 0.0000 0.0000 0.5000  2 N 2.23
Pb1 0.5000 0.5000 0.5000  8 Pm 3.37, 4 Mg 3.56
N1 0.0000 0.0000 0.0000  2 Mg 2.23

Computed properties:
As for the space-group type: P4/mmm. The electronic total energy is -5.405 eV/atom.

=====

Compound: Co2AgIr
Source: Alexandria
Functional: PBE
Structure: relaxed

a = 2.6991 Å, b = 2.6991 Å, c = 7.4793 Å
α = 90.00°, β = 90.00°, γ = 90.00°
With the nearest neighbours (Å) after each atom.
Fractional positions:
Co1 0.0000 0.0000 0.2318  4 Ir 2.58, 4 Co 2.70, 4 Ag 2.77
Co2 0.0000 0.0000 0.7682  4 Ir 2.58, 4 Co 2.70, 4 Ag 2.77
Ag1 0.5000 0.5000 0.5000  4 Ag 2.70, 8 Co 2.77
Ir1 0.5000 0.5000 0.0000  8 Co 2.58, 4 Ir 2.70

Computed properties:
As for the space-group type: P4/mmm. For the energy of formation, the calculation gives 24.6 kJ/mol of atoms. The electronic total energy is -6.226 eV/atom.

=====

Compound: LiScZnPb2
Source: Alexandria
Functional: PBE
Structure: relaxed

a = 5.5943 Å, b = 5.5943 Å, c = 5.3489 Å
α = 90.00°, β = 90.00°, γ = 90.00°
With the nearest neighbours (Å) after each atom.
Fractional positions:
Li1 0.0000 0.0000 0.0000  8 Pb 3.87, 4 Zn 3.96
Sc1 0.5000 0.5000 0.5000  2 Zn 2.67, 4 Pb 2.80
Zn1 0.5000 0.5000 0.0000  2 Sc 2.67
Pb1 0.0000 0.5000 0.5000  2 Sc 2.80
Pb2 0.5000 0.0000 0.5000  2 Sc 2.80

Computed properties:
As for the space-group type: P4/mmm. For the energy of formation, the calculation gives 30.7 kJ/mol of atoms. The electronic total energy is -3.069 eV/atom.

=====

Compound: CrRu2Au
Source: Alexandria
Functional: PBE
Structure: relaxed

a = 9.0904 Å, b = 9.0904 Å, c = 9.0904 Å
α = 17.32°, β = 17.32°, γ = 17.32°
With the nearest neighbours (Å) after each atom.
Fractional positions:
Cr1 0.0000 0.0000 0.0000  3 Ru 2.55, 6 Cr 2.74, 3 Au 2.81
Ru1 0.4888 0.4888 0.4888  9 Ru 2.68-2.74, 3 Au 2.92
Ru2 0.7414 0.7414 0.7414  3 Cr 2.55, 9 Ru 2.68-2.74
Au1 0.2469 0.2469 0.2469  6 Au 2.74, 3 Cr 2.81, 3 Ru 2.92

Computed properties:
As for the space-group type: R3m. For the energy of formation, the calculation gives 30.2 kJ/mol of atoms. The energy above the most stable polymorph in this dataset is 115 meV/atom. The electronic total energy is -7.550 eV/atom.

=====

Compound: KTa2O6
Source: Alexandria
Functional: PBE
Structure: relaxed

a = 7.4803 Å, b = 7.4803 Å, c = 7.4803 Å
α = 60.00°, β = 60.00°, γ = 60.00°
With the nearest neighbours (Å) after each atom.
Fractional positions:
K1 0.1250 0.1250 0.1250  6 O 3.29
K2 0.8750 0.8750 0.8750  6 O 3.29
Ta1 0.0000 0.5000 0.5000  6 O 1.99
Ta2 0.5000 0.0000 0.5000  6 O 1.99
Ta3 0.5000 0.5000 0.0000  6 O 1.99
Ta4 0.5000 0.5000 0.5000  6 O 1.99
O1 0.1862 0.1862 0.5638  2 Ta 1.99
O2 0.1862 0.5638 0.1862  2 Ta 1.99
O3 0.1862 0.5638 0.5638  2 Ta 1.99
O4 0.4362 0.4362 0.8138  2 Ta 1.99
O5 0.4362 0.8138 0.4362  2 Ta 1.99
O6 0.4362 0.8138 0.8138  2 Ta 1.99
O7 0.5638 0.1862 0.1862  2 Ta 1.99
O8 0.5638 0.1862 0.5638  2 Ta 1.99
O9 0.5638 0.5638 0.1862  2 Ta 1.99
O10 0.8138 0.4362 0.4362  2 Ta 1.99
O11 0.8138 0.4362 0.8138  2 Ta 1.99
O12 0.8138 0.8138 0.4362  2 Ta 1.99

Computed properties:
As for the space-group type: Fd-3m. The energy above the most stable polymorph in this dataset is 0 meV/atom. The electronic total energy is -8.557 eV/atom.

=====

Compound: LiTcNi
Source: Alexandria
Functional: PBE
Structure: relaxed

a = 4.1752 Å, b = 4.1752 Å, c = 5.0552 Å
α = 90.00°, β = 90.00°, γ = 120.00°
With the nearest neighbours (Å) after each atom.
Fractional positions:
Li1 0.0000 0.0000 0.0000  2 Li 2.53, 6 Tc 2.72, 6 Ni 2.72
Li2 0.0000 0.0000 0.5000  2 Li 2.53, 6 Tc 2.72, 6 Ni 2.72
Tc1 0.3333 0.6667 0.2500  5 Ni 2.41-2.53
Tc2 0.6667 0.3333 0.7500  5 Ni 2.41-2.53
Ni1 0.3333 0.6667 0.7500  5 Tc 2.41-2.53
Ni2 0.6667 0.3333 0.2500  5 Tc 2.41-2.53

Computed properties:
As for the space-group type: P6_3/mmc. For the energy of formation, the calculation gives 33.6 kJ/mol of atoms. The energy above the most stable polymorph in this dataset is 285 meV/atom. The electronic total energy is -5.672 eV/atom.

=====

Compound: MgBeMoHW
Source: Alexandria
Functional: PBE
Structure: relaxed

a = 4.7794 Å, b = 4.7794 Å, c = 4.7581 Å
α = 115.55°, β = 115.55°, γ = 39.57°
With the nearest neighbours (Å) after each atom.
Fractional positions:
Mg1 0.0000 0.0000 0.0000  1 H 2.25
Be1 0.2657 0.2657 0.9356  1 H 1.83
Mo1 0.5710 0.5710 0.5627  2 H 2.05
H1 0.1959 0.1959 0.5084  1 Be 1.83
W1 0.7938 0.7938 0.3353  2 H 2.18, 2 Be 2.42

Computed properties:
As for the space-group type: Cm. The energy above the most stable polymorph in this dataset is 136 meV/atom. The electronic total energy is -6.210 eV/atom.

=====

Compound: K3Y3CrSe8
Source: Alexandria
Functional: PBE
Structure: relaxed

a = 8.1073 Å, b = 8.1073 Å, c = 9.2107 Å
α = 116.16°, β = 116.16°, γ = 59.94°
With the nearest neighbours (Å) after each atom.
Fractional positions:
K1 0.0000 0.0000 0.0000  6 Se 3.29-3.33
K2 0.0000 0.5000 0.0000  6 Se 3.29-3.33
K3 0.5000 0.0000 0.0000  6 Se 3.29-3.33
Y1 0.0000 0.5000 0.5000  6 Se 2.86-2.88
Y2 0.5000 0.0000 0.5000  6 Se 2.86-2.88
Y3 0.5000 0.5000 0.5000  6 Se 2.86-2.88
Cr1 0.0000 0.0000 0.5000  6 Se 2.62
Se1 0.2160 0.2160 0.6907  1 Cr 2.62, 2 Y 2.88
Se2 0.2159 0.7588 0.6906  1 Cr 2.62, 2 Y 2.88
Se3 0.2412 0.7841 0.3094  1 Cr 2.62, 2 Y 2.88
Se4 0.2641 0.2641 0.2923  3 Y 2.86
Se5 0.7359 0.7359 0.7077  3 Y 2.86
Se6 0.7588 0.2159 0.6906  1 Cr 2.62, 2 Y 2.88
Se7 0.7841 0.2412 0.3094  1 Cr 2.62, 2 Y 2.88
Se8 0.7840 0.7840 0.3093  1 Cr 2.62, 2 Y 2.88

Computed properties:
As for the space-group type: C2/m. The electronic total energy is -5.447 eV/atom.

=====

Compound: Ca3MnC2N6
Source: Alexandria
Functional: PBE
Structure: relaxed

a = 5.2012 Å, b = 5.2012 Å, c = 6.1051 Å
α = 90.00°, β = 90.00°, γ = 120.00°
With the nearest neighbours (Å) after each atom.
Fractional positions:
Ca1 0.0000 0.0000 0.0000  6 N 2.39
Ca2 0.3333 0.6667 0.6979  1 C 2.50, 6 N 2.61
Ca3 0.6667 0.3333 0.3021  1 C 2.50, 6 N 2.61
Mn1 0.0000 0.0000 0.5000  6 N 2.09
C1 0.3333 0.6667 0.2883  3 N 1.37
C2 0.6667 0.3333 0.7117  3 N 1.37
N1 0.1815 0.3630 0.2861  1 C 1.37
N2 0.1815 0.8185 0.2861  1 C 1.37
N3 0.3630 0.1815 0.7139  1 C 1.37
N4 0.6370 0.8185 0.2861  1 C 1.37
N5 0.8185 0.1815 0.7139  1 C 1.37
N6 0.8185 0.6370 0.7139  1 C 1.37

Computed properties:
As for the space-group type: P-3m1. The electronic total energy is -7.440 eV/atom.

=====

Compound: Ba3U2PbO9
Source: Alexandria
Functional: PBE
Structure: relaxed

a = 6.3588 Å, b = 6.3588 Å, c = 7.7912 Å
α = 90.00°, β = 90.00°, γ = 120.00°
With the nearest neighbours (Å) after each atom.
Fractional positions:
Ba1 0.0000 0.0000 0.0000  12 O 3.16-3.18
Ba2 0.3333 0.6667 0.6458  12 O 3.07-3.31
Ba3 0.6667 0.3333 0.3542  12 O 3.07-3.31
U1 0.3333 0.6667 0.1589  6 O 2.09-2.21
U2 0.6667 0.3333 0.8411  6 O 2.09-2.21
Pb1 0.0000 0.0000 0.5000  6 O 2.44
O1 0.0000 0.5000 0.0000  2 U 2.21
O2 0.1795 0.3590 0.3168  1 U 2.09
O3 0.1795 0.8205 0.3168  1 U 2.09
O4 0.3590 0.1795 0.6832  1 U 2.09
O5 0.5000 0.0000 0.0000  2 U 2.21
O6 0.5000 0.5000 0.0000  2 U 2.21
O7 0.6410 0.8205 0.3168  1 U 2.09
O8 0.8205 0.1795 0.6832  1 U 2.09
O9 0.8205 0.6410 0.6832  1 U 2.09

Computed properties:
As for the space-group type: P-3m1. The electronic total energy is -7.920 eV/atom.

=====

Compound: Ce5Ru
Source: Alexandria
Functional: PBE
Structure: relaxed

a = 8.3468 Å, b = 8.3468 Å, c = 4.1236 Å
α = 90.00°, β = 90.00°, γ = 151.33°
With the nearest neighbours (Å) after each atom.
Fractional positions:
Ce1 0.0000 0.0000 0.0000  4 Ru 2.92
Ce2 0.1707 0.8293 0.5000  4 Ce 2.92
Ce3 0.3360 0.6640 0.0000  4 Ce 2.92
Ce4 0.6640 0.3360 0.0000  4 Ce 2.92
Ce5 0.8293 0.1707 0.5000  4 Ce 2.92
Ru1 0.5000 0.5000 0.5000  4 Ce 2.92

Computed properties:
As for the space-group type: Cmmm. For the energy of formation, the calculation gives -1.3 kJ/mol of atoms. The energy above the most stable polymorph in this dataset is 44 meV/atom. The electronic total energy is -6.504 eV/atom.

=====

Compound: CoIrCl2
Source: Alexandria
Functional: PBE
Structure: relaxed

a = 5.0664 Å, b = 5.0664 Å, c = 5.0664 Å
α = 146.79°, β = 112.60°, γ = 77.23°
With the nearest neighbours (Å) after each atom.
Fractional positions:
Co1 0.0000 0.0000 0.0000  4 Cl 2.42
Ir1 0.5000 0.5000 0.0000  4 Cl 2.48
Cl1 0.2450 0.7450 0.5000  2 Co 2.42, 2 Ir 2.48
Cl2 0.7550 0.2550 0.5000  2 Co 2.42, 2 Ir 2.48

Computed properties:
As for the space-group type: Immm. The energy above the most stable polymorph in this dataset is 601 meV/atom. The electronic total energy is -4.227 eV/atom.

=====

Compound: GdURe
Source: Alexandria
Functional: PBE
Structure: relaxed

a = 6.0362 Å, b = 6.0362 Å, c = 6.0362 Å
α = 146.63°, β = 146.63°, γ = 47.91°
With the nearest neighbours (Å) after each atom.
Fractional positions:
Gd1 0.0000 0.0000 0.0000  5 Re 3.24-3.39, 5 U 3.27-3.34, 4 Gd 3.47
U1 0.6968 0.6968 0.0000  4 Re 2.74
Re1 0.3073 0.3073 0.0000  4 U 2.74

Computed properties:
As for the space-group type: I4mm. For the energy of formation, the calculation gives 16.7 kJ/mol of atoms. The energy above the most stable polymorph in this dataset is 0 meV/atom. The electronic total energy is -12.433 eV/atom.

=====

Compound: Hf2GaRe
Source: Alexandria
Functional: PBE
Structure: relaxed

a = 6.0230 Å, b = 6.0230 Å, c = 6.0230 Å
α = 102.43°, β = 102.43°, γ = 124.72°
With the nearest neighbours (Å) after each atom.
Fractional positions:
Hf1 0.0959 0.1250 0.4709  2 Re 2.61, 2 Hf 2.83, 2 Ga 2.91
Hf2 0.3750 0.9041 0.0291  2 Re 2.61, 2 Hf 2.83, 2 Ga 2.91
Hf3 0.6541 0.6250 0.5291  2 Re 2.61, 2 Hf 2.83, 2 Ga 2.91
Hf4 0.8750 0.3459 0.9709  2 Re 2.61, 2 Hf 2.83, 2 Ga 2.91
Ga1 0.2500 0.7500 0.5000  2 Re 2.79, 4 Hf 2.91
Ga2 0.5000 0.5000 0.0000  2 Re 2.79, 4 Hf 2.91
Re1 0.0000 0.0000 0.0000  4 Hf 2.61, 2 Ga 2.79
Re2 0.7500 0.2500 0.5000  4 Hf 2.61, 2 Ga 2.79

Computed properties:
As for the space-group type: I-42d. For the energy of formation, the calculation gives 33.3 kJ/mol of atoms. The electronic total energy is -8.501 eV/atom.

=====

Compound: GaC
Source: Alexandria
Functional: PBE
Structure: relaxed

a = 3.2619 Å, b = 3.2619 Å, c = 5.6038 Å
α = 90.00°, β = 90.00°, γ = 120.00°
With the nearest neighbours (Å) after each atom.
Fractional positions:
Ga1 0.3333 0.6667 0.0000  4 C 2.00-2.05
Ga2 0.6667 0.3333 0.5000  4 C 2.00-2.05
C1 0.3333 0.6667 0.6434  4 Ga 2.00-2.05
C2 0.6667 0.3333 0.1434  4 Ga 2.00-2.05

Computed properties:
As for the space-group type: P6_3mc. For the energy of formation, the calculation gives 95.8 kJ/mol of atoms. The energy above the most stable polymorph in this dataset is 753 meV/atom. The electronic total energy is -5.132 eV/atom.

=====

Compound: YGeSe3
Source: Alexandria
Functional: PBE
Structure: relaxed

a = 6.8443 Å, b = 7.4620 Å, c = 11.9451 Å
α = 90.00°, β = 122.31°, γ = 90.00°
With the nearest neighbours (Å) after each atom.
Fractional positions:
Y1 0.1974 0.1230 0.2518  6 Se 2.92-3.05
Y2 0.1974 0.3770 0.7518  6 Se 2.92-3.05
Y3 0.8026 0.6230 0.2482  6 Se 2.92-3.05
Y4 0.8026 0.8770 0.7482  6 Se 2.92-3.05
Ge1 0.1481 0.6068 0.0657  3 Se 2.38-2.39, 1 Ge 2.39
Ge2 0.1481 0.8932 0.5657  3 Se 2.38-2.39, 1 Ge 2.39
Ge3 0.8519 0.1068 0.4343  3 Se 2.38-2.39, 1 Ge 2.39
Ge4 0.8519 0.3932 0.9343  3 Se 2.38-2.39, 1 Ge 2.39
Se1 0.0896 0.1660 0.9247  1 Ge 2.39
Se2 0.0896 0.3340 0.4247  1 Ge 2.39
Se3 0.2739 0.6993 0.9239  1 Ge 2.38
Se4 0.2739 0.8007 0.4239  1 Ge 2.38
Se5 0.4297 0.0332 0.7673  1 Ge 2.38
Se6 0.4297 0.4668 0.2673  1 Ge 2.38
Se7 0.5703 0.5332 0.7327  1 Ge 2.38
Se8 0.5703 0.9668 0.2327  1 Ge 2.38
Se9 0.7261 0.1993 0.5761  1 Ge 2.38
Se10 0.7261 0.3007 0.0761  1 Ge 2.38
Se11 0.9104 0.6660 0.5753  1 Ge 2.39
Se12 0.9104 0.8340 0.0753  1 Ge 2.39

Computed properties:
As for the space-group type: P2_1/c. The energy above the most stable polymorph in this dataset is 0 meV/atom. The electronic total energy is -5.315 eV/atom.

=====

Compound: V2FeH
Source: Alexandria
Functional: PBE
Structure: relaxed

a = 4.7629 Å, b = 4.7629 Å, c = 4.7629 Å
α = 111.68°, β = 111.68°, γ = 105.14°
With the nearest neighbours (Å) after each atom.
Fractional positions:
V1 0.0576 0.6250 0.9326  2 H 1.81
V2 0.3750 0.3076 0.4326  2 H 1.81
V3 0.6924 0.1250 0.0674  2 H 1.81
V4 0.8750 0.9424 0.5674  2 H 1.81
Fe1 0.2500 0.7500 0.5000  4 V 2.28
Fe2 0.5000 0.5000 0.0000  4 V 2.28
H1 0.0000 0.0000 0.0000  4 V 1.81
H2 0.7500 0.2500 0.5000  4 V 1.81

Computed properties:
As for the space-group type: I-42d. The energy above the most stable polymorph in this dataset is 167 meV/atom. The electronic total energy is -7.401 eV/atom.

=====

Compound: YCrRu2
Source: Alexandria
Functional: PBE
Structure: relaxed

a = 4.5424 Å, b = 4.5424 Å, c = 3.2184 Å
α = 90.00°, β = 90.00°, γ = 90.10°
With the nearest neighbours (Å) after each atom.
Fractional positions:
Y1 0.0000 0.0000 0.0000  8 Ru 2.78
Cr1 0.5000 0.5000 0.0000  8 Ru 2.78
Ru1 0.0000 0.5000 0.5000  4 Cr 2.78, 4 Y 2.78
Ru2 0.5000 0.0000 0.5000  4 Cr 2.78, 4 Y 2.78

Computed properties:
As for the space-group type: Cmmm. For the energy of formation, the calculation gives 13.0 kJ/mol of atoms. The energy above the most stable polymorph in this dataset is 112 meV/atom. The electronic total energy is -8.525 eV/atom.

=====

Compound: Y2TlAgHg
Source: Alexandria
Functional: PBE
Structure: relaxed

a = 5.6245 Å, b = 5.6245 Å, c = 5.1676 Å
α = 90.00°, β = 90.00°, γ = 90.00°
With the nearest neighbours (Å) after each atom.
Fractional positions:
Y1 0.0000 0.5000 0.0000  2 Hg 2.81
Y2 0.5000 0.0000 0.0000  2 Hg 2.81
Tl1 0.0000 0.0000 0.5000  8 Y 3.82, 4 Ag 3.98
Ag1 0.5000 0.5000 0.5000  2 Hg 2.58
Hg1 0.5000 0.5000 0.0000  2 Ag 2.58, 4 Y 2.81

Computed properties:
As for the space-group type: P4/mmm. For the energy of formation, the calculation gives 24.4 kJ/mol of atoms. The electronic total energy is -3.436 eV/atom.

=====

Compound: TaBe10W
Source: Alexandria
Functional: PBE
Structure: relaxed

a = 3.3524 Å, b = 4.3649 Å, c = 7.5599 Å
α = 90.00°, β = 90.00°, γ = 90.00°
With the nearest neighbours (Å) after each atom.
Fractional positions:
Ta1 0.0000 0.0000 0.0000  18 Be 2.54-2.78
Be1 0.0000 0.0000 0.3401  6 Be 2.07-2.11
Be2 0.0000 0.0000 0.6599  6 Be 2.07-2.11
Be3 0.0000 0.5000 0.1709  6 Be 2.09-2.12
Be4 0.0000 0.5000 0.8291  6 Be 2.09-2.12
Be5 0.5000 0.0000 0.5000  8 Be 2.07-2.16
Be6 0.5000 0.2521 0.2544  8 Be 2.09-2.21
Be7 0.5000 0.2521 0.7456  8 Be 2.09-2.21
Be8 0.5000 0.5000 0.0000  8 Be 2.12-2.21
Be9 0.5000 0.7479 0.2544  8 Be 2.09-2.21
Be10 0.5000 0.7479 0.7456  8 Be 2.09-2.21
W1 0.0000 0.5000 0.5000  18 Be 2.49-2.75

Computed properties:
As for the space-group type: Pmmm. For the energy of formation, the calculation gives -13.8 kJ/mol of atoms. The electronic total energy is -5.315 eV/atom.

=====

In μB per atom, the total moment values for the records above are, in order, 0.00 0.82 0.00 0.00 0.12 0.10 0.00 0.16 0.30 0.13 0.00 0.46 2.23 0.00 0.00 0.00 0.00 0.49 0.00 0.00.